1.
A plane-wave DFT calculation with PBE was carried out for Ti3RuC after structural relaxation.

abc: 4.141 4.141 4.141
angles: 90.00 90.00 90.00
Fractional coordinates of all 5 atoms:
Ti1 0.000 0.000 0.500
Ti2 0.000 0.500 0.000
Ti3 0.500 0.000 0.000
Ru1 0.500 0.500 0.500
C1 0.000 0.000 0.000

## Properties
Fermi-level density of states	1.46	states/eV/atom
E_form	-401	meV per atom
VASP energy	-44.19	eV/f.u.
space group	Pm-3m

2.
A plane-wave DFT calculation with PBE was carried out for PmDyFeNi after structural relaxation.

abc: 6.810 6.810 6.810
angles: 90.00 90.00 90.00
Fractional coordinates of all 16 atoms:
Pm1 0.000 0.000 0.000
Pm2 0.000 0.500 0.500
Pm3 0.500 0.000 0.500
Pm4 0.500 0.500 0.000
Dy1 0.000 0.000 0.500
Dy2 0.000 0.500 0.000
Dy3 0.500 0.000 0.000
Dy4 0.500 0.500 0.500
Fe1 0.250 0.250 0.250
Fe2 0.250 0.750 0.750
Fe3 0.750 0.250 0.750
Fe4 0.750 0.750 0.250
Ni1 0.250 0.250 0.750
Ni2 0.250 0.750 0.250
Ni3 0.750 0.250 0.250
Ni4 0.750 0.750 0.750

## Properties
Fermi-level density of states	1.04	states/eV/atom
E_form	-8	meV per atom
VASP energy	-23.63	eV/f.u.
space group	F-43m

3.
A plane-wave DFT calculation with PBE was carried out for Na4PrSc3Se8 after structural relaxation.

abc: 8.402 8.402 8.402
angles: 57.54 57.54 57.54
Fractional coordinates of all 16 atoms:
Na1 0.000 0.000 0.000
Na2 0.000 0.500 0.500
Na3 0.500 0.000 0.500
Na4 0.500 0.500 0.000
Pr1 0.500 0.500 0.500
Sc1 0.000 0.000 0.500
Sc2 0.000 0.500 0.000
Sc3 0.500 0.000 0.000
Se1 0.222 0.751 0.751
Se2 0.239 0.239 0.239
Se3 0.249 0.249 0.778
Se4 0.249 0.778 0.249
Se5 0.751 0.222 0.751
Se6 0.751 0.751 0.222
Se7 0.761 0.761 0.761
Se8 0.778 0.249 0.249

## Properties
E_form (uncorrected)	-1.59	eV/atom
VASP energy	-82.32	eV/f.u.
space group	R-3m

4.
A plane-wave DFT calculation with PBE was carried out for Y5Ho4Zr after structural relaxation.

abc: 8.951 8.951 10.739
angles: 106.33 106.33 22.17
Fractional coordinates of all 10 atoms:
Y1 0.000 0.000 0.000
Y2 0.296 0.296 0.900
Y3 0.397 0.397 0.221
Y4 0.603 0.603 0.779
Y5 0.704 0.704 0.100
Ho1 0.194 0.194 0.580
Ho2 0.409 0.409 0.686
Ho3 0.591 0.591 0.314
Ho4 0.806 0.806 0.420
Zr1 0.000 0.000 0.500

## Properties
Fermi-level density of states	1.79	states/eV/atom
E_form	116	meV per atom
VASP energy	-58.02	eV/f.u.
space group	C2/m

5.
A plane-wave DFT calculation with PBE was carried out for TbPmSc4 after structural relaxation.

abc: 6.180 6.631 8.271
angles: 90.00 103.50 90.00
Fractional coordinates of all 12 atoms:
Tb1 0.227 0.250 0.007
Tb2 0.773 0.750 0.993
Pm1 0.358 0.750 0.655
Pm2 0.642 0.250 0.345
Sc1 0.097 0.504 0.315
Sc2 0.097 0.996 0.315
Sc3 0.263 0.750 0.021
Sc4 0.381 0.250 0.641
Sc5 0.619 0.750 0.359
Sc6 0.737 0.250 0.979
Sc7 0.903 0.004 0.685
Sc8 0.903 0.496 0.685

## Properties
Fermi-level density of states	1.50	states/eV/atom
E_form	137	meV per atom
VASP energy	-33.88	eV/f.u.
space group	P2_1/m

6.
A plane-wave DFT calculation with PBE was carried out for BaNb2As2 after structural relaxation.

abc: 4.087 4.087 14.276
angles: 90.00 90.00 90.00
Fractional coordinates of all 10 atoms:
Ba1 0.000 0.000 0.000
Ba2 0.500 0.500 0.500
Nb1 0.000 0.500 0.250
Nb2 0.000 0.500 0.750
Nb3 0.500 0.000 0.250
Nb4 0.500 0.000 0.750
As1 0.000 0.000 0.371
As2 0.000 0.000 0.629
As3 0.500 0.500 0.129
As4 0.500 0.500 0.871

## Properties
Fermi-level density of states	0.43	states/eV/atom
E_form	-742	meV per atom
VASP energy	-35.07	eV/f.u.
space group	I4/mmm

7.
A plane-wave DFT calculation with PBE was carried out for Rb4Cd3Au after structural relaxation.

abc: 5.091 5.400 13.119
angles: 90.00 90.00 90.00
Fractional coordinates of all 8 atoms:
Rb1 0.000 0.000 0.000
Rb2 0.000 0.500 0.471
Rb3 0.500 0.000 0.689
Rb4 0.500 0.500 0.195
Cd1 0.000 0.500 0.785
Cd2 0.500 0.000 0.387
Cd3 0.500 0.500 0.895
Au1 0.000 0.000 0.285

## Properties
Fermi-level density of states	0.48	states/eV/atom
E_form	-122	meV per atom
VASP energy	-10.87	eV/f.u.
space group	Pmm2

8.
A plane-wave DFT calculation with PBE was carried out for MnCrSbI2 after structural relaxation.

abc: 5.660 5.660 5.069
angles: 90.00 90.00 90.00
Fractional coordinates of all 5 atoms:
Mn1 0.000 0.000 0.000
Cr1 0.500 0.500 0.500
Sb1 0.000 0.000 0.500
I1 0.000 0.500 0.000
I2 0.500 0.000 0.000

## Properties
E_form (uncorrected)	0.65	eV/atom
Fermi-level density of states	0.94	states/eV/atom
VASP energy	-22.76	eV/f.u.
space group	P4/mmm

Question: What is the VASP energy in the sixth record?
Answer: -35.07 eV/f.u.

Question: Which formula does entry 8 have?
Answer: MnCrSbI2

Question: VASP energy of number 2 (PmDyFeNi)?
Answer: -23.63 eV/f.u.

Question: Which of these has the lowest VASP energy?
Answer: Na4PrSc3Se8